Sm6MgPd2: relaxed, PBE.

abc: 8.7715 8.7715 8.7715
angles: 104.43 110.98 113.14
Positions (direct):
Sm 0.5284 0.7113 0.8171
Sm 0.4716 0.2887 0.1829
Sm 0.1058 0.2887 0.8171
Sm 0.8942 0.7113 0.1829
Sm 0.8037 0.7626 0.5663
Sm 0.1963 0.2374 0.4337
Sm 0.1963 0.7626 0.9589
Sm 0.8037 0.2374 0.0411
Sm 0.6979 0.3753 0.6774
Sm 0.3021 0.6247 0.3226
Sm 0.3021 0.9795 0.6774
Sm 0.6979 0.0205 0.3226
Mg 0.0000 0.5000 0.5000
Mg 0.0000 0.0000 0.0000
Pd 0.5000 0.3707 0.8707
Pd 0.5000 0.6293 0.1293
Pd 0.6597 0.0000 0.6597
Pd 0.3403 0.0000 0.3403

E = -43.8 eV per formula unit
D(E_F) = 9.125 states/eV/f.u.